[1]
{"formula": "EuCdHg2", "functional": "GGA-PBEsol", "state": "optimized geometry", "e_form_mev_per_atom": -474, "crystal_system": "cubic", "cell": [[-0.549, -1.097, -4.948], [4.108, -0.425, -2.988], [1.403, -4.571, -1.769]], "species": ["Eu", "Cd", "Hg", "Hg"], "frac_coords": [[0.000, 0.000, 0.000], [0.500, 0.500, 0.500], [0.750, 0.750, 0.750], [0.250, 0.250, 0.250]]}



[2]
{"formula": "Eu2MgCd", "functional": "GGA-PBEsol", "state": "optimized geometry", "e_form_mev_per_atom": -216, "crystal_system": "cubic", "cell": [[-0.121, -5.100, -2.045], [4.679, -2.492, -1.448], [1.912, -4.202, 2.981]], "species": ["Mg", "Eu", "Eu", "Cd"], "frac_coords": [[0.000, 0.000, 0.000], [0.250, 0.250, 0.250], [0.750, 0.750, 0.750], [0.500, 0.500, 0.500]]}



[3]
{"formula": "EuMgCd2", "functional": "GGA-PBEsol", "state": "optimized geometry", "e_form_mev_per_atom": -307, "crystal_system": "cubic", "cell": [[5.139, 0.000, 0.000], [2.570, 4.451, 0.000], [2.570, 1.484, 4.196]], "species": ["Mg", "Eu", "Cd", "Cd"], "frac_coords": [[0.000, 0.000, 0.000], [0.500, 0.500, 0.500], [0.750, 0.750, 0.750], [0.250, 0.250, 0.250]]}



[4]
{"formula": "EuCd2P2", "functional": "GGA-PBEsol", "state": "optimized geometry", "e_form_mev_per_atom": -622, "crystal_system": "trigonal", "cell": [[4.281, 0.000, 0.000], [-2.140, 3.707, 0.000], [0.000, 0.000, 6.926]], "species": ["Cd", "Cd", "P", "P", "Eu"], "frac_coords": [[0.667, 0.333, 0.361], [0.333, 0.667, 0.639], [0.667, 0.333, 0.759], [0.333, 0.667, 0.241], [0.000, 0.000, 0.000]]}



[5]
{"formula": "Eu2CdPb", "functional": "GGA-PBEsol", "state": "optimized geometry", "e_form_mev_per_atom": -530, "crystal_system": "cubic", "cell": [[5.482, 0.000, 0.000], [2.741, 4.747, 0.000], [2.741, 1.582, 4.476]], "species": ["Cd", "Pb", "Eu", "Eu"], "frac_coords": [[0.500, 0.500, 0.500], [0.000, 0.000, 0.000], [0.750, 0.750, 0.750], [0.250, 0.250, 0.250]]}



[6]
{"formula": "Eu2TlCd", "functional": "GGA-PBEsol", "state": "optimized geometry", "e_form_mev_per_atom": -430, "crystal_system": "cubic", "cell": [[-2.312, -3.106, -3.837], [-4.162, -3.277, 1.288], [-5.024, 1.149, -1.775]], "species": ["Cd", "Tl", "Eu", "Eu"], "frac_coords": [[0.500, 0.500, 0.500], [0.000, 0.000, 0.000], [0.750, 0.750, 0.750], [0.250, 0.250, 0.250]]}



[7]
{"formula": "Eu2ZnCd", "functional": "GGA-PBEsol", "state": "optimized geometry", "e_form_mev_per_atom": -296, "crystal_system": "cubic", "cell": [[5.304, 0.000, 0.000], [2.652, 4.593, 0.000], [2.652, 1.531, 4.331]], "species": ["Zn", "Eu", "Eu", "Cd"], "frac_coords": [[0.000, 0.000, 0.000], [0.750, 0.750, 0.750], [0.250, 0.250, 0.250], [0.500, 0.500, 0.500]]}



[8]
{"formula": "CdF2", "functional": "GGA-PBEsol", "state": "optimized geometry", "crystal_system": "cubic", "formation_energy_uncorrected_ev_per_atom": -2.18, "cell": [[3.813, 0.000, 0.000], [1.906, 3.302, 0.000], [1.906, 1.101, 3.113]], "species": ["F", "F", "Cd"], "frac_coords": [[0.750, 0.750, 0.750], [0.250, 0.250, 0.250], [0.000, 0.000, 0.000]]}



[9]
{"formula": "CdF2", "functional": "GGA-PBEsol", "state": "optimized geometry", "crystal_system": "orthorhombic", "formation_energy_uncorrected_ev_per_atom": -2.14, "cell": [[-2.945, 0.285, -2.007], [-3.292, -0.447, 4.766], [0.154, 6.918, 0.756]], "species": ["F", "F", "F", "F", "F", "F", "F", "F", "Cd", "Cd", "Cd", "Cd"], "frac_coords": [[0.250, 0.513, 0.838], [0.750, 0.860, 0.919], [0.750, 0.360, 0.581], [0.750, 0.987, 0.338], [0.250, 0.640, 0.419], [0.250, 0.013, 0.662], [0.750, 0.487, 0.162], [0.250, 0.140, 0.081], [0.250, 0.244, 0.394], [0.750, 0.256, 0.894], [0.250, 0.744, 0.106], [0.750, 0.756, 0.606]]}



[10]
{"formula": "ZrCdFe2F", "functional": "GGA-PBEsol", "state": "optimized geometry", "crystal_system": "tetragonal", "formation_energy_uncorrected_ev_per_atom": 0.82, "cell": [[4.104, 0.000, 0.000], [0.000, 4.838, 0.000], [0.000, 0.000, 4.838]], "species": ["Cd", "F", "Fe", "Fe", "Zr"], "frac_coords": [[0.000, 0.000, 0.000], [0.500, 0.000, 0.000], [0.000, 0.500, 0.000], [0.000, 0.000, 0.500], [0.500, 0.500, 0.500]]}



[11]
{"formula": "CdGaH14O7F5", "functional": "GGA-PBEsol", "state": "optimized geometry", "crystal_system": "triclinic", "final_energy_ev_per_atom": -4.894, "cell": [[-1.286, 3.551, 4.412], [-1.584, -7.834, 4.745], [9.840, 1.162, -0.723]], "species": ["O", "O", "O", "O", "O", "O", "O", "O", "O", "O", "O", "O", "O", "O", "F", "F", "F", "F", "F", "F", "F", "F", "F", "F", "H", "H", "H", "H", "H", "H", "H", "H", "H", "H", "H", "H", "H", "H", "H", "H", "H", "H", "H", "H", "H", "H", "H", "H", "H", "H", "H", "H", "Cd", "Cd", "Ga", "Ga"], "frac_coords": [[0.932, 0.233, 0.285], [0.761, 0.831, 0.328], [0.478, 0.251, 0.441], [0.522, 0.749, 0.559], [0.356, 0.610, 0.940], [0.239, 0.169, 0.672], [0.234, 0.459, 0.566], [0.372, 0.097, 0.109], [0.628, 0.903, 0.891], [0.218, 0.411, 0.201], [0.068, 0.767, 0.715], [0.766, 0.541, 0.434], [0.644, 0.390, 0.060], [0.782, 0.589, 0.799], [0.096, 0.353, 0.918], [0.073, 0.051, 0.861], [0.212, 0.993, 0.413], [0.149, 0.686, 0.348], [0.927, 0.949, 0.139], [0.788, 0.007, 0.587], [0.335, 0.832, 0.179], [0.851, 0.314, 0.652], [0.665, 0.168, 0.821], [0.904, 0.647, 0.082], [0.215, 0.091, 0.572], [0.739, 0.490, 0.072], [0.831, 0.610, 0.907], [0.261, 0.510, 0.928], [0.802, 0.481, 0.750], [0.324, 0.377, 0.522], [0.601, 0.833, 0.267], [0.672, 0.311, 0.974], [0.619, 0.852, 0.584], [0.643, 0.999, 0.868], [0.911, 0.594, 0.421], [0.328, 0.689, 0.026], [0.785, 0.909, 0.428], [0.198, 0.519, 0.250], [0.089, 0.406, 0.579], [0.955, 0.704, 0.749], [0.626, 0.261, 0.518], [0.357, 0.001, 0.132], [0.256, 0.080, 0.015], [0.374, 0.739, 0.482], [0.928, 0.124, 0.227], [0.676, 0.623, 0.478], [0.399, 0.167, 0.733], [0.072, 0.876, 0.773], [0.045, 0.296, 0.251], [0.744, 0.920, 0.985], [0.169, 0.390, 0.093], [0.381, 0.148, 0.416], [0.584, 0.324, 0.253], [0.416, 0.676, 0.747], [0.958, 0.177, 0.754], [0.042, 0.823, 0.246]]}